VIrRu2O | GGA+U | relaxed

abc: 4.535 4.535 4.549
angles: 90.00 90.00 90.00
Atoms (fractional coordinates):
V (0.000, 0.000, 0.000)
Ir (0.000, 0.000, 0.500)
Ru (0.000, 0.500, 0.000)
Ru (0.500, 0.000, 0.000)
O (0.500, 0.500, 0.500)

Properties
* VASP energy: -5.81 eV per atom
* energy relative to the lowest polymorph listed for this composition: 1996 meV per atom
* M_tot: 4.5 μB per formula unit
* crystal system: tetragonal
* space-group type: P4/mmm (123)